i:
The following is a DFT calculation (PBE) of CsSrPt3 after structural relaxation.

Computed properties:
space-group type	Pm-3m

Unit cell a=5.322 b=5.322 c=5.322 alpha=90.00 beta=90.00 gamma=90.00
Sites, in units of the cell vectors:
Cs: 0.000 0.000 0.000
Sr: 0.500 0.500 0.500
Pt: 0.000 0.000 0.500
Pt: 0.000 0.500 0.000
Pt: 0.500 0.000 0.000

ii:
The following is a DFT calculation (PBE) of CsSrPt3 after structural relaxation.

Computed properties:
space-group type	Pm-3m

Unit cell a=5.563 b=5.563 c=5.563 alpha=90.00 beta=90.00 gamma=90.00
Sites, in units of the cell vectors:
Cs: 0.000 0.000 0.000
Sr: 0.500 0.500 0.500
Pt: 0.000 0.500 0.500
Pt: 0.500 0.000 0.500
Pt: 0.500 0.500 0.000

The structure with the greatest stability is ii.

i:
The following is a DFT calculation (PBE) of CsSr3Pt after structural relaxation.

Computed properties:
space-group type	Pm-3m

Unit cell a=5.972 b=5.972 c=5.972 alpha=90.00 beta=90.00 gamma=90.00
Sites, in units of the cell vectors:
Cs: 0.000 0.000 0.000
Sr: 0.000 0.000 0.500
Sr: 0.000 0.500 0.000
Sr: 0.500 0.000 0.000
Pt: 0.500 0.500 0.500

ii:
The following is a DFT calculation (PBE) of CsSr3Pt after structural relaxation.

Computed properties:
space-group type	Pm-3m

Unit cell a=6.193 b=6.193 c=6.193 alpha=90.00 beta=90.00 gamma=90.00
Sites, in units of the cell vectors:
Cs: 0.000 0.000 0.000
Sr: 0.000 0.500 0.500
Sr: 0.500 0.000 0.500
Sr: 0.500 0.500 0.000
Pt: 0.500 0.500 0.500

The structure with the greatest stability is ii.

i:
The following is a DFT calculation (PBE) of CsSr2Pt after structural relaxation.

Computed properties:
space-group type	Fm-3m

Unit cell a=5.803 b=5.803 c=5.803 alpha=60.00 beta=60.00 gamma=60.00
Sites, in units of the cell vectors:
Cs: 0.000 0.000 0.000
Sr: 0.250 0.250 0.250
Sr: 0.750 0.750 0.750
Pt: 0.500 0.500 0.500

ii:
The following is a DFT calculation (PBE) of CsSr2Pt after structural relaxation.

Computed properties:
space-group type	I-42d

Unit cell a=9.244 b=9.244 c=9.244 alpha=120.02 beta=120.02 gamma=89.97
Sites, in units of the cell vectors:
Cs: 0.000 0.000 0.000
Cs: 0.750 0.250 0.500
Sr: 0.360 0.625 0.235
Sr: 0.375 0.610 0.735
Sr: 0.390 0.125 0.765
Sr: 0.875 0.640 0.265
Pt: 0.250 0.750 0.500
Pt: 0.500 0.500 0.000

The structure with the greatest stability is ii.